# 1
The following is a DFT calculation (PBE) of crystalline Li2ReOs at its relaxed geometry.

Cell: 2.6536 4.1017 5.4715 Å, 90.00 90.00 90.00°
Positions (direct):
1 Re 0.5000 0.5000 0.7057
2 Li 0.5000 0.5000 0.2299
3 Li 0.0000 0.0000 0.0231
4 Os 0.0000 0.0000 0.5413

## Properties
formation energy: 190 meV per atom
energy above the most stable polymorph in this dataset: 0.076 eV per atom



# 2
The following is a DFT calculation (PBE) of crystalline TbPm5Y12 at its relaxed geometry.

Cell: 15.2235 10.7662 5.0828 Å, 90.00 90.00 45.10°
Positions (direct):
1 Pm 0.1659 0.6681 0.5000
2 Pm 0.5000 0.0000 0.5000
3 Pm 0.3332 0.3337 0.0000
4 Pm 0.8341 0.3319 0.5000
5 Pm 0.6668 0.6663 0.0000
6 Y 0.1664 0.0000 0.4999
7 Y 0.0004 0.3325 0.0000
8 Y 0.8341 0.6663 0.5000
9 Y 0.6671 0.0001 0.0001
10 Y 0.8336 0.0000 0.5001
11 Y 0.5003 0.3338 0.5000
12 Y 0.9996 0.6675 0.0000
13 Y 0.3328 0.6676 0.0000
14 Y 0.4997 0.6662 0.5000
15 Y 0.1659 0.3337 0.5000
16 Y 0.3329 0.9999 0.9999
17 Y 0.6672 0.3324 0.0000
18 Tb 0.0000 0.0000 0.0000

## Properties
formation energy: 20 meV per atom



# 3
The following is a DFT calculation (PBE) of crystalline NbCdRh at its relaxed geometry.

Cell: 5.9336 4.4563 9.5428 Å, 90.00 120.30 90.00°
Positions (direct):
1 Rh 0.6857 0.0000 0.1525
2 Rh 0.3143 0.0000 0.8475
3 Rh 0.3143 0.5000 0.3475
4 Rh 0.6857 0.5000 0.6525
5 Cd 0.2829 0.5000 0.0382
6 Cd 0.2829 0.0000 0.5382
7 Cd 0.7171 0.0000 0.4618
8 Cd 0.7171 0.5000 0.9618
9 Nb 0.8714 0.5000 0.3190
10 Nb 0.1286 0.5000 0.6810
11 Nb 0.8714 0.0000 0.8190
12 Nb 0.1286 0.0000 0.1810

## Properties
formation energy: -122 meV per atom



# 4
The following is a DFT calculation (PBE) of crystalline Re2Se at its relaxed geometry.

Cell: 2.9674 4.2309 7.3268 Å, 90.00 90.00 90.00°
Positions (direct):
1 Se 0.0000 0.0000 0.0000
2 Se 0.5000 0.5000 0.5000
3 Re 0.7558 0.0000 0.3345
4 Re 0.7442 0.5000 0.8344
5 Re 0.2442 0.0000 0.6656
6 Re 0.2558 0.5000 0.1656

## Properties
uncorrected formation energy: 0.57 eV per atom
energy above the most stable polymorph in this dataset: 0.502 eV per atom



# 5
The following is a DFT calculation (PBE) of crystalline Ba3NaPm2Te6 at its relaxed geometry.

Cell: 8.1969 8.1969 8.2649 Å, 99.49 99.49 119.98°
Positions (direct):
1 Pm 0.6675 0.3325 0.0000
2 Pm 0.3325 0.6675 0.0000
3 Na 0.0000 0.0000 0.0000
4 Te 0.4162 0.0750 0.2239
5 Te 0.5838 0.9250 0.7761
6 Te 0.9250 0.5838 0.7761
7 Te 0.0750 0.4162 0.2239
8 Te 0.2674 0.2674 0.7800
9 Te 0.7326 0.7326 0.2200
10 Ba 0.1634 0.8366 0.5000
11 Ba 0.5000 0.5000 0.5000
12 Ba 0.8366 0.1634 0.5000

## Properties
uncorrected formation energy: -1.54 eV per atom



# 6
The following is a DFT calculation (PBE) of crystalline ZrBe4 at its relaxed geometry.

Cell: 4.9892 4.9892 4.9892 Å, 109.47 109.47 109.47°
Positions (direct):
1 Zr 0.0000 0.0000 0.0000
2 Be 0.5000 0.5000 0.5000
3 Be 0.0000 0.0000 0.5000
4 Be 0.0000 0.5000 0.0000
5 Be 0.5000 0.0000 0.0000

## Properties
formation energy: 1634 meV per atom
energy above the most stable polymorph in this dataset: 1.835 eV per atom



# 7
The following is a DFT calculation (PBE) of crystalline Er5TmBi6 at its relaxed geometry.

Cell: 7.6921 7.6937 7.6929 Å, 60.00 80.40 70.53°
Positions (direct):
1 Bi 0.7504 0.4159 0.6673
2 Bi 0.7502 0.7506 0.0000
3 Bi 0.2498 0.2494 0.0000
4 Bi 0.2496 0.5841 0.3327
5 Bi 0.7504 0.0832 0.3327
6 Bi 0.2496 0.9168 0.6673
7 Tm 0.0000 0.0000 0.0000
8 Er 0.5000 0.1670 0.6661
9 Er 0.0000 0.6666 0.6668
10 Er 0.0000 0.3334 0.3332
11 Er 0.5000 0.8330 0.3339
12 Er 0.5000 0.5000 0.0000

## Properties
formation energy: -808 meV per atom



# 8
The following is a DFT calculation (PBE) of crystalline Nd2Ga4CuRu3 at its relaxed geometry.

Cell: 4.1288 4.1288 10.8893 Å, 90.00 90.00 90.00°
Positions (direct):
1 Ru 0.0000 0.0000 0.5000
2 Ru 0.0000 0.5000 0.1374
3 Ru 0.5000 0.0000 0.8626
4 Nd 0.0000 0.5000 0.7551
5 Nd 0.5000 0.0000 0.2449
6 Ga 0.0000 0.5000 0.3709
7 Ga 0.5000 0.0000 0.6291
8 Ga 0.5000 0.5000 0.0000
9 Ga 0.0000 0.0000 0.0000
10 Cu 0.5000 0.5000 0.5000

## Properties
formation energy: -397 meV per atom



# 9
The following is a DFT calculation (PBE) of crystalline TbU2Te6 at its relaxed geometry.

Cell: 5.7284 5.7284 11.6393 Å, 104.25 104.25 90.00°
Each line ends with the local moment (μB).
Positions (direct):
1 Tb 0.5000 0.5000 0.0000  -0.07
2 Te 0.6737 0.6737 0.8179  -0.15
3 Te 0.2500 0.7500 0.5000  -0.10
4 Te 0.8559 0.3263 0.1821  -0.15
5 Te 0.1441 0.1441 0.8179  -0.15
6 Te 0.3263 0.8559 0.1821  -0.15
7 Te 0.7500 0.2500 0.5000  -0.10
8 U 0.1898 0.1898 0.3796  2.12
9 U 0.8102 0.8102 0.6204  2.12

## Properties
uncorrected formation energy: -0.45 eV per atom



# 10
The following is a DFT calculation (PBE) of crystalline LaNd3Tm7 at its relaxed geometry.

Cell: 8.8977 9.9749 5.5124 Å, 90.04 128.23 105.46°
Positions (direct):
1 Tm 0.5000 0.0000 0.5000
2 Tm 0.3563 0.7119 0.8565
3 Tm 0.0800 0.1692 0.0801
4 Tm 0.1766 0.3596 0.6768
5 Tm 0.8234 0.6404 0.3232
6 Tm 0.6437 0.2881 0.1435
7 Tm 0.9200 0.8308 0.9199
8 Nd 0.2167 0.0017 0.7173
9 Nd 0.0000 0.5000 0.0000
10 Nd 0.7833 0.9983 0.2827
11 La 0.5000 0.5000 0.5000

## Properties
formation energy: 156 meV per atom
energy above the most stable polymorph in this dataset: 0.000 eV per atom



# 11
The following is a DFT calculation (PBE) of crystalline BeInSb2 at its relaxed geometry.

Cell: 5.7796 5.0583 4.4752 Å, 75.11 71.06 115.32°
Positions (direct):
1 Sb 0.0000 0.0000 0.0000
2 Sb 0.5000 0.0000 0.5000
3 Be 0.0000 0.5000 0.5000
4 In 0.5000 0.5000 0.0000

## Properties
uncorrected formation energy: 0.45 eV per atom
energy above the most stable polymorph in this dataset: 0.360 eV per atom



# 12
The following is a DFT calculation (PBE) of crystalline VCr2Mo at its relaxed geometry.

Cell: 2.9721 2.9721 5.9343 Å, 90.00 90.00 90.00°
Positions (direct):
1 V 0.5000 0.5000 0.0000
2 Mo 0.5000 0.5000 0.5000
3 Cr 0.0000 0.0000 0.7560
4 Cr 0.0000 0.0000 0.2440

## Properties
formation energy: -46 meV per atom
energy above the most stable polymorph in this dataset: 0.010 eV per atom



# 13
The following is a DFT calculation (PBE) of crystalline TaTlCl2 at its relaxed geometry.

Cell: 3.1278 5.6914 4.7333 Å, 90.00 90.00 90.00°
Each line ends with the local moment (μB).
Positions (direct):
1 Tl 0.0000 0.5000 0.5000  -0.01
2 Cl 0.0000 0.0000 0.0000  -0.03
3 Cl 0.5000 0.5000 0.0000  0.01
4 Ta 0.5000 0.0000 0.5000  0.58

## Properties
uncorrected formation energy: 0.24 eV per atom
energy above the most stable polymorph in this dataset: 0.751 eV per atom



# 14
The following is a DFT calculation (PBE) of crystalline Ta2VIn at its relaxed geometry.

Cell: 3.2874 3.2874 6.6348 Å, 90.00 90.00 90.00°
Positions (direct):
1 Ta 0.0000 0.0000 0.7869
2 Ta 0.0000 0.0000 0.2131
3 V 0.5000 0.5000 0.0000
4 In 0.5000 0.5000 0.5000

## Properties
formation energy: 94 meV per atom



# 15
The following is a DFT calculation (PBE) of crystalline TaCrTc2C at its relaxed geometry.

Cell: 4.1246 4.1246 3.8945 Å, 90.00 90.00 90.00°
Each line ends with the local moment (μB).
Positions (direct):
1 Tc 0.0000 0.5000 0.0000  0.09
2 Tc 0.5000 0.0000 0.0000  0.09
3 Cr 0.0000 0.0000 0.5000  1.44
4 C 0.0000 0.0000 0.0000  -0.04
5 Ta 0.5000 0.5000 0.5000  -0.02

## Properties
formation energy: -85 meV per atom



# 16
The following is a DFT calculation (PBE) of crystalline RbMgSe2 at its relaxed geometry.

Cell: 6.2479 6.2479 8.9912 Å, 69.67 69.67 90.00°
Positions (direct):
1 Rb 0.0000 0.0000 0.0000
2 Rb 0.7500 0.2500 0.5000
3 Se 0.8750 0.6249 0.7500
4 Se 0.3750 0.6251 0.7500
5 Se 0.3749 0.1250 0.2500
6 Se 0.3751 0.6250 0.2500
7 Mg 0.5000 0.5000 0.0000
8 Mg 0.2500 0.7500 0.5000

## Properties
uncorrected formation energy: -0.87 eV per atom



# 17
The following is a DFT calculation (PBE) of crystalline KMnCl2 at its relaxed geometry.

Cell: 5.7721 5.7721 5.7721 Å, 141.98 108.34 84.12°
Each line ends with the local moment (μB).
Positions (direct):
1 K 0.7500 0.2500 0.5000  -0.01
2 Cl 0.0602 0.0602 0.0000  0.03
3 Cl 0.4398 0.4398 0.0000  0.03
4 Mn 0.2500 0.7500 0.5000  3.83

## Properties
uncorrected formation energy: -0.91 eV per atom
energy above the most stable polymorph in this dataset: 0.081 eV per atom



# 18
The following is a DFT calculation (PBE) of crystalline TaMnTc at its relaxed geometry.

Cell: 3.9437 4.9873 5.3785 Å, 76.86 68.49 66.71°
Positions (direct):
1 Ta 0.9296 0.8216 0.3192
2 Ta 0.0704 0.1784 0.6808
3 Mn 0.6510 0.3767 0.3212
4 Mn 0.3490 0.6233 0.6788
5 Tc 0.6690 0.7393 0.9227
6 Tc 0.3310 0.2607 0.0773

## Properties
formation energy: 2 meV per atom
energy above the most stable polymorph in this dataset: 0.000 eV per atom



# 19
The following is a DFT calculation (PBE) of crystalline LiPuTlNi at its relaxed geometry.

Cell: 4.7474 4.7474 4.7474 Å, 60.00 60.00 60.00°
Each line ends with the local moment (μB).
Positions (direct):
1 Li 0.5000 0.5000 0.5000  0.03
2 Pu 0.7500 0.7500 0.7500  5.15
3 Tl 0.2500 0.2500 0.2500  -0.05
4 Ni 0.0000 0.0000 0.0000  -0.36

## Properties
formation energy: 22 meV per atom



# 20
The following is a DFT calculation (PBE) of crystalline K2Sm2PaSe6 at its relaxed geometry.

Cell: 7.3395 7.3395 8.2347 Å, 98.71 98.71 119.77°
Each line ends with the local moment (μB).
Positions (direct):
1 Se 0.7451 0.7451 0.7027  -0.01
2 Se 0.3938 0.0677 0.7032  -0.01
3 Se 0.2549 0.2549 0.2973  -0.01
4 Se 0.0677 0.3938 0.7032  -0.01
5 Se 0.6062 0.9323 0.2968  -0.01
6 Se 0.9323 0.6062 0.2968  -0.01
7 Sm 0.3337 0.6663 0.5000  0.03
8 Sm 0.6663 0.3337 0.5000  0.03
9 K 0.8311 0.1689 0.0000  0.00
10 K 0.1689 0.8311 0.0000  0.00
11 Pa 0.0000 0.0000 0.5000  0.98

## Properties
uncorrected formation energy: -1.66 eV per atom



no.,energy (eV per atom)
1,-6.687
2,-5.866
3,-6.234
4,-8.887
5,-4.498
6,-3.057
7,-5.022
8,-5.753
9,-5.570
10,-4.438
11,-3.225
12,-9.845
13,-4.238
14,-8.797
15,-10.372
16,-3.255
17,-4.396
18,-10.461
19,-6.076
20,-5.479